A relaxed ZnCr2Re crystal. Source: the Alexandria database, functional PBE-GGA.

The structure in CIF format:
```
data_ZnCr2Re
_chemical_formula_sum 'Zn1 Cr2 Re1'
_cell_length_a 4.625
_cell_length_b 4.625
_cell_length_c 2.636
_cell_angle_alpha 90.00
_cell_angle_beta 90.00
_cell_angle_gamma 110.81
_symmetry_space_group_name_H-M 'P 1'
_symmetry_Int_Tables_number 1
loop_
_symmetry_equiv_pos_as_xyz
'x,y,z'
loop_
_atom_site_label
_atom_site_type_symbol
_atom_site_fract_x
_atom_site_fract_y
_atom_site_fract_z
Cr1 Cr 0.000 0.000 0.000
Zn1 Zn 0.000 0.500 0.500
Cr2 Cr 0.500 0.500 0.000
Re1 Re 0.500 0.000 0.500
```

Properties
SG	Cmmm (65)
formation energy	26.3	kJ per mole of atoms
total magnetization	0.01	μB/f.u.